# 1
First-principles (GGA-PBEsol) data for crystalline Zn2TeSe at its relaxed geometry, as listed in Alexandria.

Cell lengths 4.1899, 4.8617, 4.8617 Å; angles 105.34, 106.19, 106.19 degrees
Fractional coordinates of all 4 atoms:
Se: 0.5000 0.5000 0.5000
Te: 0.5000 0.0000 0.0000
Zn: 0.0000 0.5000 0.0000
Zn: 0.0000 0.0000 0.5000

Properties
Total energy   -2.648 eV per atom
Excess energy over the best structure of this formula in the dataset   2.049 eV per formula unit
Uncorrected formation energy   -0.013 eV per atom
V   21.20 Å³/atom
Spin magnetization   0.0 μB per cell

---

# 2
First-principles (GGA-PBEsol) data for crystalline ZnTeSe3 at its relaxed geometry, as listed in Alexandria.

Cell lengths 4.8193, 4.8193, 4.8193 Å; angles 90.00, 90.00, 90.00 degrees
Fractional coordinates of all 5 atoms:
Zn: 0.0000 0.0000 0.0000
Te: 0.5000 0.5000 0.5000
Se: 0.0000 0.5000 0.0000
Se: 0.0000 0.0000 0.5000
Se: 0.5000 0.0000 0.0000

Properties
Total energy   -3.006 eV per atom
Excess energy over the best structure of this formula in the dataset   0.000 eV per formula unit
Uncorrected formation energy   0.326 eV per atom
V   22.39 Å³/atom
Spin magnetization   0.0 μB per cell

---

# 3
First-principles (GGA-PBEsol) data for crystalline ZnTe2Se at its relaxed geometry, as listed in Alexandria.

Cell lengths 4.1088, 4.1088, 6.4467 Å; angles 108.58, 108.58, 90.00 degrees
Fractional coordinates of all 4 atoms:
Se: 0.2652 0.2652 0.5305
Te: 0.0039 0.0039 0.0079
Te: 0.7451 0.7451 0.4903
Zn: 0.4946 0.4946 0.9892

Properties
Total energy   -3.184 eV per atom
Uncorrected formation energy   -0.063 eV per atom
V   24.29 Å³/atom
Spin magnetization   0.0 μB per cell

---

# 4
First-principles (GGA-PBEsol) data for crystalline ZnTeSe3 at its relaxed geometry, as listed in Alexandria.

Cell lengths 5.2593, 5.2593, 5.2593 Å; angles 90.00, 90.00, 90.00 degrees
Fractional coordinates of all 5 atoms:
Zn: 0.5000 0.5000 0.5000
Te: 0.0000 0.0000 0.0000
Se: 0.0000 0.5000 0.0000
Se: 0.0000 0.0000 0.5000
Se: 0.5000 0.0000 0.0000

Properties
Total energy   -2.707 eV per atom
Excess energy over the best structure of this formula in the dataset   1.494 eV per formula unit
Uncorrected formation energy   0.624 eV per atom
V   29.09 Å³/atom
Spin magnetization   0.0 μB per cell

---

# 5
First-principles (GGA-PBEsol) data for crystalline ZnTe2Se at its relaxed geometry, as listed in Alexandria.

Cell lengths 5.0145, 5.0145, 5.0145 Å; angles 60.00, 60.00, 60.00 degrees
Fractional coordinates of all 4 atoms:
Se: 0.0000 0.0000 0.0000
Te: 0.7500 0.7500 0.7500
Te: 0.2500 0.2500 0.2500
Zn: 0.5000 0.5000 0.5000

Properties
Total energy   -2.830 eV per atom
Uncorrected formation energy   0.291 eV per atom
V   22.29 Å³/atom
Spin magnetization   0.0 μB per cell

---

# 6
First-principles (GGA-PBEsol) data for crystalline Zn2TeSe at its relaxed geometry, as listed in Alexandria.

Cell lengths 3.3676, 3.3676, 6.9658 Å; angles 90.00, 90.00, 90.00 degrees
Fractional coordinates of all 4 atoms:
Se: 0.5000 0.5000 0.0000
Te: 0.5000 0.5000 0.5000
Zn: 0.0000 0.0000 0.7921
Zn: 0.0000 0.0000 0.2079

Properties
Total energy   -2.509 eV per atom
Excess energy over the best structure of this formula in the dataset   2.605 eV per formula unit
Uncorrected formation energy   0.126 eV per atom
V   19.75 Å³/atom
Spin magnetization   0.0 μB per cell